Below is a geometry-optimized Cs2MgHBr6 structure, with properties calculated at the PBE-GGA level.

Geometry as CIF:
```
data_Cs2MgHBr6
_cell_length_a 7.1861
_cell_length_b 7.1861
_cell_length_c 12.7751
_cell_angle_alpha 90.00
_cell_angle_beta 90.00
_cell_angle_gamma 90.00
_symmetry_space_group_name_H-M 'I 4/m m m'
_symmetry_Int_Tables_number 139
_symmetry_space_group_name_Hall '-I 4 2'
loop_
_atom_site_label
_atom_site_type_symbol
_atom_site_fract_x
_atom_site_fract_y
_atom_site_fract_z
Cs1 Cs 0.0000 0.5000 0.2500
Mg1 Mg 0.0000 0.0000 0.0000
H1 H 0.0000 0.0000 0.5000
Br1 Br 0.0000 0.0000 0.2011
Br2 Br 0.2229 0.2229 0.5000
```

Summary:
Final energy = -52.37 eV for the cell shown
Spin magnetization = 0.00 μB/cell